A plane-wave DFT calculation with PBE was carried out for a relaxed Li2TlFe crystal.

```
data_Li2TlFe
_chemical_formula_sum 'Li2 Tl1 Fe1'
_cell_length_a 4.330
_cell_length_b 2.897
_cell_length_c 5.647
_cell_angle_alpha 76.26
_cell_angle_beta 90.00
_cell_angle_gamma 90.00
_space_group_name_H-M_alt 'P 1'
_space_group_IT_number 1
_space_group_name_Hall 'P 1'
loop_
_atom_site_label
_atom_site_type_symbol
_atom_site_fract_x
_atom_site_fract_y
_atom_site_fract_z
_atom_site_occupancy
Tl1 Tl 0.000 0.472 0.509 1
Li1 Li 0.000 0.039 0.000 1
Li2 Li 0.500 0.220 0.238 1
Fe1 Fe 0.500 0.769 0.754 1
```

Total DFT energy (no corrections): -13.7 eV/f.u.